DFT (PBE-GGA) results for a relaxed structure of Pr2MgAl12Co3.

a = 8.5322 Å, b = 8.5322 Å, c = 18.8896 Å
α = 90.00°, β = 90.00°, γ = 120.00°
Space group R-3m (No. 166, hexagonal axes)
Asymmetric unit:
Pr: 0.0000 0.0000 0.0883 [6 per cell]
Mg: 0.0000 0.0000 0.5000 [3 per cell]
Al: 0.0447 0.5224 0.8803 [18 per cell]
Al: 0.0979 0.5490 0.3217 [18 per cell]
Co: 0.0000 0.5000 0.0000 [9 per cell]

Results
The density of states at the Fermi level is 0.61 states/eV per atom. The value obtained for the formation energy is 97 meV/atom. For the volume, the calculation gives 22.1 Å³ per atom. For the total energy, the calculation gives -75.63 eV/f.u. For the density, the calculation gives 3.37 g/cm³.

---

DFT (PBE-GGA) results for a relaxed structure of Sr2MgAl12Co3.

a = 8.7428 Å, b = 8.7428 Å, c = 19.2713 Å
α = 90.00°, β = 90.00°, γ = 120.00°
Space group R-3m (No. 166, hexagonal axes)
Asymmetric unit:
Sr: 0.0000 0.0000 0.0968 [6 per cell]
Mg: 0.0000 0.0000 0.5000 [3 per cell]
Al: 0.0104 0.5052 0.8821 [18 per cell]
Al: 0.1094 0.5547 0.3286 [18 per cell]
Co: 0.0000 0.5000 0.0000 [9 per cell]

Results
The density of states at the Fermi level is 0.38 states/eV per atom. The value obtained for the formation energy is 81 meV/atom. For the volume, the calculation gives 23.6 Å³ per atom. For the total energy, the calculation gives -69.74 eV/f.u. For the density, the calculation gives 2.73 g/cm³.